--- a ---
# SrAc3Tl4

A relaxed SrAc3Tl4 crystal (PBE, Alexandria).

Unit cell a=4.141 b=4.141 c=16.431 alpha=90.00 beta=90.00 gamma=90.00
Positions (direct):
Ac (0.500, 0.500, 0.751)
Tl (0.000, 0.000, 0.125)
Tl (0.000, 0.000, 0.875)
Ac (0.500, 0.500, 0.249)
Tl (0.000, 0.000, 0.623)
Sr (0.500, 0.500, 0.000)
Ac (0.500, 0.500, 0.500)
Tl (0.000, 0.000, 0.377)

Properties
* density of states at the Fermi level: 6.30 states/eV/f.u.
* volume: 281.8 Å³/cell
* crystal system: tetragonal
* space group: P4/mmm (123)


--- b ---
# SrAc3Tl4

A relaxed SrAc3Tl4 crystal (PBE, Alexandria).

Unit cell a=4.023 b=7.854 c=10.621 alpha=111.71 beta=100.92 gamma=90.00
Positions (direct):
Ac (0.789, 0.789, 0.577)
Sr (0.500, 0.000, 0.000)
Ac (0.000, 0.500, 0.000)
Tl (0.628, 0.424, 0.256)
Tl (0.372, 0.576, 0.744)
Tl (0.628, 0.832, 0.256)
Tl (0.372, 0.168, 0.744)
Ac (0.211, 0.211, 0.423)

Properties
* density of states at the Fermi level: 7.90 states/eV/f.u.
* volume: 305.2 Å³/cell
* crystal system: orthorhombic
* space group: Immm (71)


Result of the stability comparison: a is the most stable of them.


--- a ---
# SrAcTm2

A relaxed SrAcTm2 crystal (PBE, Alexandria).

Unit cell a=3.700 b=3.700 c=13.181 alpha=81.93 beta=81.93 gamma=60.00
Positions (direct):
Ac (0.500, 0.500, 0.500)
Tm (0.091, 0.091, 0.727)
Sr (0.000, 0.000, 0.000)
Tm (0.909, 0.909, 0.273)

Properties
* density of states at the Fermi level: 5.86 states/eV/f.u.
* volume: 154.2 Å³/cell
* crystal system: trigonal
* space group: R-3m (166)


--- b ---
# SrAcTm2

A relaxed SrAcTm2 crystal (PBE, Alexandria).

Unit cell a=3.826 b=3.826 c=10.487 alpha=90.00 beta=90.00 gamma=90.00
Positions (direct):
Tm (0.000, 0.000, 0.767)
Ac (0.500, 0.500, 0.000)
Tm (0.000, 0.000, 0.233)
Sr (0.500, 0.500, 0.500)

Properties
* density of states at the Fermi level: 7.80 states/eV/f.u.
* volume: 153.5 Å³/cell
* crystal system: tetragonal
* space group: P4/mmm (123)


Result of the stability comparison: b is the most stable of them.


--- a ---
# SrAc2Tm

A relaxed SrAc2Tm crystal (PBE, Alexandria).

Unit cell a=3.858 b=3.858 c=13.803 alpha=81.97 beta=81.97 gamma=60.00
Positions (direct):
Ac (0.905, 0.905, 0.284)
Sr (0.000, 0.000, 0.000)
Ac (0.095, 0.095, 0.716)
Tm (0.500, 0.500, 0.500)

Properties
* density of states at the Fermi level: 5.61 states/eV/f.u.
* volume: 175.6 Å³/cell
* crystal system: trigonal
* space group: R-3m (166)


--- b ---
# SrAc2Tm

A relaxed SrAc2Tm crystal (PBE, Alexandria).

Unit cell a=6.198 b=6.198 c=6.198 alpha=60.00 beta=60.00 gamma=60.00
Positions (direct):
Ac (0.750, 0.750, 0.750)
Sr (0.500, 0.500, 0.500)
Ac (0.250, 0.250, 0.250)
Tm (0.000, 0.000, 0.000)

Properties
* density of states at the Fermi level: 5.05 states/eV/f.u.
* volume: 168.4 Å³/cell
* crystal system: cubic
* space group: Fm-3m (225)


--- c ---
# SrAc2Tm

A relaxed SrAc2Tm crystal (PBE, Alexandria).

Unit cell a=3.912 b=3.912 c=13.005 alpha=81.35 beta=81.35 gamma=60.00
Positions (direct):
Tm (0.667, 0.667, 0.000)
Ac (0.076, 0.076, 0.772)
Ac (0.258, 0.258, 0.227)
Sr (0.500, 0.500, 0.501)

Properties
* density of states at the Fermi level: 5.11 states/eV/f.u.
* volume: 169.7 Å³/cell
* crystal system: trigonal
* space group: R3m (160)


Result of the stability comparison: c is the most stable of them.


--- a ---
# SrAc4Y

A relaxed SrAc4Y crystal (PBE, Alexandria).

Unit cell a=3.997 b=3.997 c=16.501 alpha=90.00 beta=90.00 gamma=90.00
Positions (direct):
Ac (0.000, 0.000, 0.350)
Ac (0.500, 0.500, 0.813)
Sr (0.000, 0.000, 0.000)
Y (0.500, 0.500, 0.500)
Ac (0.000, 0.000, 0.650)
Ac (0.500, 0.500, 0.187)

Properties
* density of states at the Fermi level: 10.35 states/eV/f.u.
* volume: 263.7 Å³/cell
* crystal system: tetragonal
* space group: P4/mmm (123)


--- b ---
# SrAc4Y

A relaxed SrAc4Y crystal (PBE, Alexandria).

Unit cell a=7.339 b=7.339 c=7.339 alpha=60.00 beta=60.00 gamma=60.00
Positions (direct):
Sr (0.250, 0.250, 0.250)
Ac (0.627, 0.120, 0.627)
Ac (0.627, 0.627, 0.627)
Y (0.000, 0.000, 0.000)
Ac (0.627, 0.627, 0.120)
Ac (0.120, 0.627, 0.627)

Properties
* density of states at the Fermi level: 9.71 states/eV/f.u.
* volume: 279.5 Å³/cell
* crystal system: cubic
* space group: F-43m (216)


Result of the stability comparison: a is the most stable of them.


--- a ---
# SrAc2Y

A relaxed SrAc2Y crystal (PBE, Alexandria).

Unit cell a=3.927 b=3.927 c=13.067 alpha=81.36 beta=81.36 gamma=60.00
Positions (direct):
Sr (0.500, 0.500, 0.501)
Ac (0.077, 0.077, 0.769)
Y (0.667, 0.667, 0.000)
Ac (0.257, 0.257, 0.230)

Properties
* density of states at the Fermi level: 5.06 states/eV/f.u.
* volume: 171.9 Å³/cell
* crystal system: trigonal
* space group: R3m (160)


--- b ---
# SrAc2Y

A relaxed SrAc2Y crystal (PBE, Alexandria).

Unit cell a=5.394 b=5.616 c=5.616 alpha=90.00 beta=90.00 gamma=90.00
Positions (direct):
Ac (0.000, 0.000, 0.500)
Ac (0.000, 0.500, 0.000)
Y (0.500, 0.000, 0.000)
Sr (0.500, 0.500, 0.500)

Properties
* density of states at the Fermi level: 6.49 states/eV/f.u.
* volume: 170.1 Å³/cell
* crystal system: tetragonal
* space group: P4/mmm (123)


Result of the stability comparison: a is the most stable of them.


--- a ---
# SrAc2Y

A relaxed SrAc2Y crystal (PBE, Alexandria).

Unit cell a=3.873 b=3.873 c=13.884 alpha=81.98 beta=81.98 gamma=60.00
Positions (direct):
Ac (0.906, 0.906, 0.282)
Sr (0.000, 0.000, 0.000)
Y (0.500, 0.500, 0.500)
Ac (0.094, 0.094, 0.718)

Properties
* density of states at the Fermi level: 5.58 states/eV/f.u.
* volume: 178.0 Å³/cell
* crystal system: trigonal
* space group: R-3m (166)


--- b ---
# SrAc2Y

A relaxed SrAc2Y crystal (PBE, Alexandria).

Unit cell a=3.971 b=3.971 c=10.972 alpha=90.00 beta=90.00 gamma=90.00
Positions (direct):
Sr (0.500, 0.500, 0.500)
Ac (0.000, 0.000, 0.775)
Y (0.500, 0.500, 0.000)
Ac (0.000, 0.000, 0.225)

Properties
* density of states at the Fermi level: 5.79 states/eV/f.u.
* volume: 173.0 Å³/cell
* crystal system: tetragonal
* space group: P4/mmm (123)


--- c ---
# SrAc2Y

A relaxed SrAc2Y crystal (PBE, Alexandria).

Unit cell a=6.232 b=6.232 c=6.232 alpha=60.00 beta=60.00 gamma=60.00
Positions (direct):
Y (0.500, 0.500, 0.500)
Sr (0.000, 0.000, 0.000)
Ac (0.250, 0.250, 0.250)
Ac (0.750, 0.750, 0.750)

Properties
* density of states at the Fermi level: 5.43 states/eV/f.u.
* volume: 171.2 Å³/cell
* crystal system: cubic
* space group: Fm-3m (225)


Result of the stability comparison: b is the most stable of them.


--- a ---
# SrAcZn4

A relaxed SrAcZn4 crystal (PBE, Alexandria).

Unit cell a=4.463 b=4.463 c=8.416 alpha=105.38 beta=105.38 gamma=90.00
Positions (direct):
Zn (0.666, 0.166, 0.332)
Zn (0.416, 0.416, 0.833)
Zn (0.834, 0.334, 0.668)
Sr (0.250, 0.750, 0.500)
Ac (0.000, 0.000, 0.000)
Zn (0.584, 0.584, 0.167)

Properties
* density of states at the Fermi level: 4.73 states/eV/f.u.
* volume: 155.4 Å³/cell
* crystal system: tetragonal
* space group: I-4m2 (119)


--- b ---
# SrAcZn4

A relaxed SrAcZn4 crystal (PBE, Alexandria).

Unit cell a=5.823 b=5.823 c=5.823 alpha=60.00 beta=60.00 gamma=60.00
Positions (direct):
Sr (0.000, 0.000, 0.000)
Zn (0.624, 0.624, 0.624)
Zn (0.624, 0.129, 0.624)
Ac (0.250, 0.250, 0.250)
Zn (0.129, 0.624, 0.624)
Zn (0.624, 0.624, 0.129)

Properties
* density of states at the Fermi level: 4.76 states/eV/f.u.
* volume: 139.6 Å³/cell
* crystal system: cubic
* space group: F-43m (216)


Result of the stability comparison: a is the most stable of them.


--- a ---
# SrAcZn2

A relaxed SrAcZn2 crystal (PBE, Alexandria).

Unit cell a=3.882 b=5.552 c=5.552 alpha=90.00 beta=90.00 gamma=90.00
Positions (direct):
Zn (0.000, 0.000, 0.500)
Sr (0.500, 0.000, 0.000)
Zn (0.000, 0.500, 0.000)
Ac (0.500, 0.500, 0.500)

Properties
* density of states at the Fermi level: 2.93 states/eV/f.u.
* volume: 119.7 Å³/cell
* crystal system: tetragonal
* space group: P4/mmm (123)


--- b ---
# SrAcZn2

A relaxed SrAcZn2 crystal (PBE, Alexandria).

Unit cell a=5.521 b=5.521 c=5.521 alpha=60.00 beta=60.00 gamma=60.00
Positions (direct):
Sr (0.000, 0.000, 0.000)
Zn (0.750, 0.750, 0.750)
Ac (0.500, 0.500, 0.500)
Zn (0.250, 0.250, 0.250)

Properties
* density of states at the Fermi level: 1.12 states/eV/f.u.
* volume: 119.0 Å³/cell
* crystal system: cubic
* space group: Fm-3m (225)


Result of the stability comparison: b is the most stable of them.


--- a ---
# SrAc2Zn

A relaxed SrAc2Zn crystal (PBE, Alexandria).

Unit cell a=3.994 b=3.994 c=9.969 alpha=90.00 beta=90.00 gamma=90.00
Positions (direct):
Ac (0.000, 0.000, 0.816)
Sr (0.500, 0.500, 0.500)
Ac (0.000, 0.000, 0.184)
Zn (0.500, 0.500, 0.000)

Properties
* density of states at the Fermi level: 4.88 states/eV/f.u.
* volume: 159.1 Å³/cell
* crystal system: tetragonal
* space group: P4/mmm (123)


--- b ---
# SrAc2Zn

A relaxed SrAc2Zn crystal (PBE, Alexandria).

Unit cell a=3.994 b=3.994 c=12.648 alpha=80.92 beta=80.92 gamma=60.00
Positions (direct):
Sr (0.000, 0.000, 0.000)
Ac (0.894, 0.894, 0.319)
Zn (0.500, 0.500, 0.500)
Ac (0.106, 0.106, 0.681)

Properties
* density of states at the Fermi level: 5.96 states/eV/f.u.
* volume: 171.8 Å³/cell
* crystal system: trigonal
* space group: R-3m (166)


Result of the stability comparison: a is the most stable of them.


--- a ---
# Ac4Tb

A relaxed Ac4Tb crystal (PBE, Alexandria).

Unit cell a=6.254 b=6.254 c=6.254 alpha=90.00 beta=90.00 gamma=90.00
Positions (direct):
Ac (0.500, 0.000, 0.500)
Ac (0.500, 0.500, 0.000)
Ac (0.000, 0.500, 0.500)
Tb (0.500, 0.500, 0.500)
Ac (0.000, 0.000, 0.000)

Properties
* density of states at the Fermi level: 9.46 states/eV/f.u.
* volume: 244.6 Å³/cell
* crystal system: cubic
* space group: Pm-3m (221)


--- b ---
# Ac4Tb

A relaxed Ac4Tb crystal (PBE, Alexandria).

Unit cell a=5.532 b=6.775 c=6.775 alpha=80.40 beta=65.90 gamma=65.90
Positions (direct):
Ac (0.397, 0.399, 0.806)
Ac (0.603, 0.601, 0.194)
Ac (0.797, 0.806, 0.601)
Ac (0.203, 0.194, 0.399)
Tb (0.000, 0.000, 0.000)

Properties
* density of states at the Fermi level: 9.77 states/eV/f.u.
* volume: 211.6 Å³/cell
* crystal system: tetragonal
* space group: I4/m (87)


Result of the stability comparison: b is the most stable of them.


--- a ---
# AcTb2Tc

A relaxed AcTb2Tc crystal (PBE, Alexandria).

Unit cell a=3.542 b=3.542 c=9.455 alpha=90.00 beta=90.00 gamma=90.00
Positions (direct):
Tb (0.000, 0.000, 0.172)
Ac (0.500, 0.500, 0.500)
Tc (0.500, 0.500, 0.000)
Tb (0.000, 0.000, 0.828)

Properties
* density of states at the Fermi level: 7.81 states/eV/f.u.
* volume: 118.6 Å³/cell
* crystal system: tetragonal
* space group: P4/mmm (123)


--- b ---
# AcTb2Tc

A relaxed AcTb2Tc crystal (PBE, Alexandria).

Unit cell a=3.581 b=3.581 c=11.373 alpha=80.94 beta=80.94 gamma=60.00
Positions (direct):
Tc (0.500, 0.500, 0.500)
Ac (0.000, 0.000, 0.000)
Tb (0.891, 0.891, 0.326)
Tb (0.109, 0.109, 0.674)

Properties
* density of states at the Fermi level: 4.63 states/eV/f.u.
* volume: 124.2 Å³/cell
* crystal system: trigonal
* space group: R-3m (166)


Result of the stability comparison: a is the most stable of them.


--- a ---
# Ac4TbTe5

A relaxed Ac4TbTe5 crystal (PBE, Alexandria).

Unit cell a=6.613 b=8.070 c=8.070 alpha=80.33 beta=65.81 gamma=65.81
Positions (direct):
Te (0.900, 0.383, 0.818)
Ac (0.194, 0.215, 0.398)
Te (0.102, 0.617, 0.182)
Ac (0.593, 0.602, 0.215)
Te (0.718, 0.182, 0.383)
Te (0.502, 0.000, 0.000)
Ac (0.409, 0.398, 0.785)
Tb (0.002, 0.000, 0.000)
Te (0.284, 0.818, 0.617)
Ac (0.807, 0.785, 0.602)

Properties
* density of states at the Fermi level: 5.73 states/eV/f.u.
* volume: 358.4 Å³/cell
* crystal system: tetragonal
* space group: I4 (79)


--- b ---
# Ac4TbTe5

A relaxed Ac4TbTe5 crystal (PBE, Alexandria).

Unit cell a=4.636 b=4.636 c=19.397 alpha=83.14 beta=83.14 gamma=60.00
Positions (direct):
Ac (0.701, 0.701, 0.896)
Te (0.805, 0.805, 0.585)
Tb (0.500, 0.500, 0.500)
Te (0.195, 0.195, 0.415)
Te (0.403, 0.403, 0.792)
Ac (0.896, 0.896, 0.311)
Ac (0.104, 0.104, 0.689)
Te (0.597, 0.597, 0.208)
Te (0.000, 0.000, 0.000)
Ac (0.299, 0.299, 0.104)

Properties
* density of states at the Fermi level: 6.37 states/eV/f.u.
* volume: 357.6 Å³/cell
* crystal system: trigonal
* space group: R-3m (166)


Result of the stability comparison: b is the most stable of them.